[1]
A plane-wave DFT calculation with GGA-PBE was carried out for crystalline CsAsAuSe2 at its relaxed geometry.

abc: 5.479 5.479 4.961
angles: 90.00 90.00 90.00
Element x y z (fractional)
Cs 0.500 0.500 0.500
As 0.000 0.000 0.500
Au 0.000 0.000 0.000
Se 0.000 0.500 0.000
Se 0.500 0.000 0.000

**Space-group type**: No. 123
**Formation energy without anion corrections**: 0.23 eV per formula unit
**Energy above the lowest structure with this stoichiometry**: 0.300 eV per atom
**Magnetic moment**: 0.00 μB per formula unit

[2]
A plane-wave DFT calculation with GGA-PBE was carried out for crystalline KTl2W at its relaxed geometry.

abc: 3.083 3.083 11.048
angles: 90.00 90.00 105.63
Element x y z (fractional)
K 0.500 0.500 0.735
Tl 0.000 0.000 0.020
Tl 0.500 0.500 0.269
W 0.000 0.000 0.476

**Space-group type**: No. 35
**Energy above the lowest structure with this stoichiometry**: 0.263 eV per atom
**DFT formation energy**: 0.93 eV per atom
**Magnetic moment**: 0.00 μB per formula unit

[3]
A plane-wave DFT calculation with GGA-PBE was carried out for crystalline HfTaGeMo2 at its relaxed geometry.

abc: 4.751 5.025 4.751
angles: 90.00 90.00 90.00
Element x y z (fractional)
Mo 0.000 0.000 0.500
Mo 0.500 0.000 0.000
Hf 0.000 0.000 0.000
Ge 0.500 0.500 0.500
Ta 0.000 0.500 0.000

**Space-group type**: No. 123
**DFT formation energy**: 1.97 eV per atom
**Magnetic moment**: 0.43 μB per formula unit

[4]
A plane-wave DFT calculation with GGA-PBE was carried out for crystalline FePOsCl2 at its relaxed geometry.

abc: 4.402 4.402 4.652
angles: 90.00 90.00 90.00
Element x y z (fractional)
P 0.000 0.000 0.500
Os 0.500 0.500 0.500
Fe 0.000 0.000 0.000
Cl 0.000 0.500 0.000
Cl 0.500 0.000 0.000

**Space-group type**: No. 123
**Formation energy without anion corrections**: 6.15 eV per formula unit
**Energy above the lowest structure with this stoichiometry**: 0.387 eV per atom
**Magnetic moment**: 3.63 μB per formula unit

[5]
A plane-wave DFT calculation with GGA-PBE was carried out for crystalline AcDyCuSn at its relaxed geometry.

abc: 5.409 5.409 5.409
angles: 60.00 60.00 60.00
Element x y z (fractional)
Ac 0.500 0.500 0.500
Sn 0.250 0.250 0.250
Cu 0.750 0.750 0.750
Dy 0.000 0.000 0.000

**Space-group type**: No. 216
**DFT formation energy**: -0.34 eV per atom
**Magnetic moment**: 0.00 μB per formula unit

[6]
A plane-wave DFT calculation with GGA-PBE was carried out for crystalline PuHCl at its relaxed geometry.

abc: 3.302 3.302 5.349
angles: 107.98 107.98 90.00
Element x y z (fractional)
H 0.283 0.283 0.566
Pu 0.709 0.709 0.418
Cl 0.008 0.008 0.016

**Space-group type**: No. 107
**Uncorrected energy**: -7.3829 eV per atom
**Magnetic moment**: 6.00 μB per formula unit

[7]
A plane-wave DFT calculation with GGA-PBE was carried out for crystalline Na2Sr2Ga at its relaxed geometry.

abc: 3.978 3.978 12.051
angles: 99.50 99.50 90.00
Element x y z (fractional)
Na 0.799 0.799 0.597
Na 0.201 0.201 0.403
Sr 0.578 0.578 0.156
Sr 0.422 0.422 0.844
Ga 0.000 0.000 0.000

**Space-group type**: No. 139
**Energy above the lowest structure with this stoichiometry**: 0.000 eV per atom
**DFT formation energy**: -0.16 eV per atom
**Magnetic moment**: 0.00 μB per formula unit

[8]
A plane-wave DFT calculation with GGA-PBE was carried out for crystalline MnZn2Cr at its relaxed geometry.

abc: 2.545 2.545 8.491
angles: 90.00 90.00 110.17
Element x y z (fractional)
Cr 0.000 0.000 0.517
Mn 0.500 0.500 0.735
Zn 0.000 0.000 0.986
Zn 0.500 0.500 0.262

**Space-group type**: No. 35
**Energy above the lowest structure with this stoichiometry**: 0.063 eV per atom
**DFT formation energy**: 0.13 eV per atom
**Magnetic moment**: 1.15 μB per formula unit